(1)
Computed, not measured: a relaxed UReMo crystal at the PBE level of DFT.

Cell and atoms, written as POSCAR:
```
UReMo
1.0
5.4436 0.0000 0.0000
-2.0198 6.0764 0.0000
-1.8377 -0.6351 6.2472
U Re Mo
4 4 4
Direct
0.0000 0.0000 0.0000
0.0192 0.4989 0.9929
0.3233 0.3280 0.3096
0.6877 0.1705 0.6842
0.0118 0.4909 0.4977
0.6636 0.1710 0.1712
0.6823 0.6608 0.1732
0.9937 0.0063 0.4912
0.3371 0.8375 0.8232
0.3527 0.8370 0.3445
0.3570 0.3274 0.8218
0.6641 0.6633 0.6471
```

Results
ΔH_f (0 K): 0.068 eV per atom
Energy above the most stable polymorph in this dataset: 0.0 meV/atom
Calculated volume: 17.2 Å³/atom
Magnetization: 0.0 μB/f.u.

(2)
Computed, not measured: a relaxed Cs2CaInBr6 crystal at the PBE level of DFT.

Cell and atoms, written as POSCAR:
```
Cs2CaInBr6
1.0
0.0000 5.7931 5.7931
5.7931 0.0000 5.7931
5.7931 5.7931 0.0000
Cs Ca In Br
2 1 1 6
Direct
0.2500 0.2500 0.2500
0.7500 0.7500 0.7500
0.0000 0.0000 0.0000
0.5000 0.5000 0.5000
0.2492 0.2492 0.7508
0.2492 0.7508 0.2492
0.2492 0.7508 0.7508
0.7508 0.2492 0.2492
0.7508 0.2492 0.7508
0.7508 0.7508 0.2492
```

Results
Raw total energy: -3.18 eV per atom
Calculated volume: 38.9 Å³/atom
Magnetization: 0.0 μB/f.u.

(3)
Computed, not measured: a relaxed ZrTaMn crystal at the PBE level of DFT.

Cell and atoms, written as POSCAR:
```
ZrTaMn
1.0
0.0000 4.2531 4.4725
2.7564 0.0000 4.4725
2.7564 4.2531 0.0000
Zr Ta Mn
2 2 2
Direct
0.1762 0.8238 0.1762
0.8238 0.1762 0.8238
0.3262 0.3262 0.6738
0.6738 0.6738 0.3262
0.2500 0.2500 0.2500
0.7500 0.7500 0.7500
```

Results
ΔH_f (0 K): 0.006 eV per atom
Energy above the most stable polymorph in this dataset: 124.8 meV/atom
Calculated volume: 17.5 Å³/atom
Magnetization: 0.0 μB/f.u.

(4)
Computed, not measured: a relaxed Na3HfTa crystal at the PBE level of DFT.

Cell and atoms, written as POSCAR:
```
Na3HfTa
1.0
5.5393 0.0000 0.0000
0.0000 5.5393 0.0000
0.0000 0.0000 5.5393
Na Hf Ta
3 1 1
Direct
0.0000 0.0000 0.5000
0.0000 0.5000 0.0000
0.5000 0.0000 0.0000
0.5000 0.5000 0.5000
0.0000 0.0000 0.0000
```

Results
ΔH_f (0 K): 2.180 eV per atom
Energy above the most stable polymorph in this dataset: 0.0 meV/atom
Calculated volume: 34.0 Å³/atom
Magnetization: 2.1 μB/f.u.

(5)
Computed, not measured: a relaxed LaSm2HoP4 crystal at the PBE level of DFT.

Cell and atoms, written as POSCAR:
```
LaSm2HoP4
1.0
7.1350 0.0000 0.0000
0.0000 4.1236 0.0000
-2.3720 0.0000 6.7326
La Sm Ho P
1 2 1 4
Direct
0.0000 0.0000 0.0000
0.0000 0.5000 0.5000
0.5000 0.0000 0.5000
0.5000 0.5000 0.0000
0.2572 0.0000 0.7523
0.2578 0.5000 0.2527
0.7422 0.5000 0.7473
0.7428 0.0000 0.2477
```

Results
ΔH_f (0 K): -1.566 eV per atom
Calculated volume: 24.8 Å³/atom
Magnetization: 0.0 μB/f.u.

(6)
Computed, not measured: a relaxed Er2NbN crystal at the PBE level of DFT.

Cell and atoms, written as POSCAR:
```
Er2NbN
1.0
1.6327 0.9426 8.7096
-1.6327 0.9426 8.7096
0.0000 -1.8853 8.7096
Er Nb N
2 1 1
Direct
0.1144 0.1144 0.1144
0.8856 0.8856 0.8856
0.0000 0.0000 0.0000
0.5000 0.5000 0.5000
```

Results
Raw total energy: -7.24 eV per atom
Calculated volume: 20.1 Å³/atom
Magnetization: 0.8 μB/f.u.